[1]
Entry from Alexandria: a PBEsol-optimized structure of SiTe2SeI (SCAN).

Structure (POSCAR):
```
SiTe2SeI
1.0
5.458 0.000 0.000
0.000 5.458 0.000
0.000 0.000 5.353
Si Te Se I
1 2 1 1
direct
0.000 0.000 0.000
0.000 0.500 0.500
0.500 0.000 0.500
0.500 0.500 0.500
0.500 0.500 0.000
```

**Magnetization**: 0.00 μB per formula unit
**Formation energy (no corrections)**: 0.876 eV per atom
**Space group**: P4/mmm, No. 123

***

[2]
Entry from Alexandria: a PBEsol-optimized structure of BeHg (SCAN).

Structure (POSCAR):
```
BeHg
1.0
3.621 0.000 0.000
-1.810 3.136 0.000
0.000 0.000 2.841
Be Hg
1 1
direct
0.000 0.000 0.000
0.333 0.667 0.500
```

**Relative energy among the computed polymorphs**: 8 meV/atom
**Magnetization**: 0.00 μB per formula unit
**Space group**: P-6m2, No. 187

***

[3]
Entry from Alexandria: a PBEsol-optimized structure of AlTl2Pb (SCAN).

Structure (POSCAR):
```
AlTl2Pb
1.0
3.200 -5.582 0.000
3.200 5.582 0.000
-1.498 0.000 2.941
Al Tl Pb
1 2 1
direct
0.000 0.000 0.000
0.000 0.500 0.500
0.500 0.000 0.500
0.500 0.500 0.000
```

**Relative energy among the computed polymorphs**: 8 meV/atom
**Magnetization**: 0.00 μB per formula unit
**Space group**: C2/m, No. 12

***

[4]
Entry from Alexandria: a PBEsol-optimized structure of BaSrPb2 (SCAN).

Structure (POSCAR):
```
BaSrPb2
1.0
3.735 0.000 0.000
0.000 3.735 0.000
0.000 0.000 9.810
Ba Sr Pb
1 1 2
direct
0.000 0.000 0.000
0.000 0.000 0.500
0.500 0.500 0.258
0.500 0.500 0.742
```

**Magnetization**: 0.00 μB per formula unit
**Space group**: P4/mmm, No. 123
**Uncorrected energy**: -54.070 eV/atom

***

[5]
Entry from Alexandria: a PBEsol-optimized structure of HfTaSiSb2 (SCAN).

Structure (POSCAR):
```
HfTaSiSb2
1.0
4.985 0.000 0.000
0.000 4.985 0.000
0.000 0.000 4.735
Hf Ta Si Sb
1 1 1 2
direct
0.000 0.000 0.000
0.500 0.500 0.000
0.000 0.000 0.500
0.000 0.500 0.500
0.500 0.000 0.500
```

**Magnetization**: 0.00 μB per formula unit
**Formation energy (no corrections)**: 1.204 eV per atom
**Space group**: P4/mmm, No. 123

***

[6]
Entry from Alexandria: a PBEsol-optimized structure of Sc2CdPd (SCAN).

Structure (POSCAR):
```
Sc2CdPd
1.0
1.538 0.888 9.882
-1.538 0.888 9.882
0.000 -1.775 9.882
Sc Cd Pd
2 1 1
direct
0.083 0.083 0.083
0.917 0.917 0.917
0.500 0.500 0.500
0.000 0.000 0.000
```

**Magnetization**: 0.00 μB per formula unit
**Space group**: R-3m, No. 166
**Uncorrected energy**: -22.964 eV/atom

***

[7]
Entry from Alexandria: a PBEsol-optimized structure of CuSnSb2H (SCAN).

Structure (POSCAR):
```
CuSnSb2H
1.0
4.544 0.000 0.000
0.000 4.544 0.000
0.000 0.000 4.647
Cu Sn Sb H
1 1 2 1
direct
0.000 0.000 0.000
0.500 0.500 0.000
0.000 0.500 0.500
0.500 0.000 0.500
0.500 0.500 0.500
```

**Magnetization**: 0.00 μB per formula unit
**Space group**: P4/mmm, No. 123
**Uncorrected energy**: -25.169 eV/atom

***

[8]
Entry from Alexandria: a PBEsol-optimized structure of LiInPb (SCAN).

Structure (POSCAR):
```
LiInPb
1.0
5.019 0.000 0.000
-2.509 4.346 0.000
0.000 0.000 3.370
Li In Pb
1 1 1
direct
0.000 0.000 0.000
0.667 0.333 0.245
0.333 0.667 0.629
```

**Magnetization**: 0.00 μB per formula unit
**Space group**: P3m1, No. 156
**Uncorrected energy**: -37.363 eV/atom